[1]
VASP calculation (GGA-PBE) on a relaxed structure of SrErPaO6.

Results
The crystal system is trigonal. As for the density of states at the Fermi level: 6.28 states/eV/cell. For the energy, the calculation gives -7.849 eV per atom. The calculation puts the uncorrected formation energy at -2794 meV per atom.

Unit cell a=5.9739 b=5.9739 c=4.7287 alpha=90.00 beta=90.00 gamma=120.00
Space group P312 (No. 149)
Unique sites:
1 Sr 0.0000 0.0000 0.0000
2 Er 0.3333 0.6667 0.0000
3 Pa 0.6667 0.3333 0.5000
4 O 0.3781 0.0105 0.2466

[2]
VASP calculation (GGA-PBE) on a relaxed structure of TbErPaO6.

Results
The crystal system is trigonal. As for the density of states at the Fermi level: 9.05 states/eV/cell. For the energy, the calculation gives -8.612 eV per atom. The calculation puts the uncorrected formation energy at -3230 meV per atom.

Unit cell a=5.7749 b=5.7749 c=4.6764 alpha=90.00 beta=90.00 gamma=120.00
Space group P312 (No. 149)
Unique sites:
1 Tb 0.0000 0.0000 0.0000
2 Er 0.3333 0.6667 0.0000
3 Pa 0.6667 0.3333 0.5000
4 O 0.3495 0.0115 0.2448

[3]
VASP calculation (GGA-PBE) on a relaxed structure of Er2PaTcO8.

Results
The crystal system is orthorhombic. As for the density of states at the Fermi level: 11.29 states/eV/cell. For the energy, the calculation gives -8.637 eV per atom. The calculation puts the uncorrected formation energy at -2916 meV per atom.

Unit cell a=6.986 b=7.154 c=6.749 alpha=90.00 beta=90.00 gamma=90.00
Space group Cmmm (No. 65)
Unique sites:
1 Er 0.000 0.000 0.242
2 Pa 0.000 0.500 0.500
3 Tc 0.000 0.500 0.000
4 O 0.000 0.316 0.231
5 O 0.198 0.000 0.500
6 O 0.223 0.000 0.000

[4]
VASP calculation (GGA-PBE) on a relaxed structure of Er2PaTeO8.

Results
The crystal system is orthorhombic. As for the density of states at the Fermi level: 8.03 states/eV/cell. For the energy, the calculation gives -7.935 eV per atom. The calculation puts the uncorrected formation energy at -2816 meV per atom.

Unit cell a=6.991 b=7.217 c=6.936 alpha=90.00 beta=90.00 gamma=90.00
Space group Cmmm (No. 65)
Unique sites:
1 Er 0.000 0.000 0.244
2 Pa 0.000 0.500 0.500
3 Te 0.000 0.500 0.000
4 O 0.000 0.315 0.237
5 O 0.199 0.000 0.500
6 O 0.209 0.000 0.000